A plane-wave DFT calculation with GGA-PBE was carried out for a relaxed structure of SrIn2Br6.

Properties
E above lowest polymorph = 46 meV per atom
Density of states at the Fermi level = 6.38 states/eV per cell

abc: 9.797 9.797 9.353
angles: 107.26 107.26 87.75
Positions (direct):
Sr1 0.070 0.930 0.750
Sr2 0.930 0.070 0.250
In1 0.224 0.419 0.759
In2 0.419 0.224 0.259
In3 0.581 0.776 0.741
In4 0.776 0.581 0.241
Br1 0.009 0.196 0.622
Br2 0.035 0.629 0.764
Br3 0.196 0.009 0.122
Br4 0.355 0.365 0.037
Br5 0.365 0.355 0.537
Br6 0.371 0.965 0.736
Br7 0.629 0.035 0.264
Br8 0.635 0.645 0.463
Br9 0.645 0.635 0.963
Br10 0.804 0.991 0.878
Br11 0.965 0.371 0.236
Br12 0.991 0.804 0.378